Entry from Alexandria: an optimized crystal structure of Rb5CoAuO2 (PBE with a Hubbard U).

```
Rb5CoAuO2
1.0
5.7676 0.0000 0.0000
0.0000 5.7676 0.0000
0.0000 0.0000 9.2768
Rb Co Au O
5 1 1 2
direct
0.0000 0.0000 0.5000
0.0000 0.5000 0.7818
0.5000 0.0000 0.2182
0.0000 0.5000 0.2182
0.5000 0.0000 0.7818
0.0000 0.0000 0.0000
0.5000 0.5000 0.5000
0.0000 0.0000 0.1916
0.0000 0.0000 0.8084
```

Computed properties:
VASP energy	-29.78	eV per cell
D(E_F)	3.02	states/eV per cell